No. 1
The following is a GGA-PBEsol calculation of a geometry-optimized Zr3C4 structure, from Alexandria.

abc: 3.293 3.293 8.321
angles: 101.41 101.41 90.00
Fractional coordinates of all 7 atoms:
Zr1 0.678 0.678 0.356
Zr2 0.000 0.000 0.000
Zr3 0.322 0.322 0.644
C1 0.542 0.542 0.083
C2 0.825 0.825 0.651
C3 0.175 0.175 0.349
C4 0.458 0.458 0.917

Calculated values
Symmetry: I4/mmm (139)

***

No. 2
The following is a GGA-PBEsol calculation of a geometry-optimized ZrC2 structure, from Alexandria.

abc: 2.865 4.019 6.172
angles: 100.54 103.42 90.00
Fractional coordinates of all 6 atoms:
C1 0.107 0.113 0.213
C2 0.337 0.618 0.673
C3 0.357 0.303 0.714
C4 0.615 0.306 0.230
Zr1 0.999 0.546 0.998
Zr2 0.752 0.947 0.504

Calculated values
Symmetry: Cm (8)

***

No. 3
The following is a GGA-PBEsol calculation of a geometry-optimized Zr3C2 structure, from Alexandria.

abc: 3.312 3.312 8.269
angles: 78.45 78.45 60.00
Fractional coordinates of all 5 atoms:
Zr1 0.773 0.773 0.680
Zr2 0.227 0.227 0.320
Zr3 0.000 0.000 0.000
C1 0.609 0.609 0.174
C2 0.391 0.391 0.826

Calculated values
Symmetry: R-3m (166)

***

No. 4
The following is a GGA-PBEsol calculation of a geometry-optimized Zr3C2 structure, from Alexandria.

abc: 3.321 3.321 8.002
angles: 90.00 90.00 120.00
Fractional coordinates of all 5 atoms:
C1 0.667 0.333 0.174
C2 0.333 0.667 0.826
Zr1 0.000 0.000 0.000
Zr2 0.333 0.667 0.320
Zr3 0.667 0.333 0.680

Calculated values
Symmetry: P-3m1 (164)

***

No. 5
The following is a GGA-PBEsol calculation of a geometry-optimized Zr2C structure, from Alexandria.

abc: 3.367 5.457 5.457
angles: 90.00 90.00 90.00
Fractional coordinates of all 6 atoms:
Zr1 0.500 0.797 0.797
Zr2 0.000 0.703 0.297
Zr3 0.000 0.297 0.703
Zr4 0.500 0.203 0.203
C1 0.000 0.000 0.000
C2 0.500 0.500 0.500

Calculated values
Symmetry: P4_2/mnm (136)

***

No. 6
The following is a GGA-PBEsol calculation of a geometry-optimized Zr2C structure, from Alexandria.

abc: 3.307 3.307 4.530
angles: 90.00 90.00 90.00
Fractional coordinates of all 3 atoms:
Zr1 0.500 0.500 0.000
Zr2 0.000 0.000 0.500
C1 0.000 0.000 0.000

Calculated values
Symmetry: P4/mmm (123)

***

No. 7
The following is a GGA-PBEsol calculation of a geometry-optimized Zr2C structure, from Alexandria.

abc: 3.281 4.696 6.706
angles: 90.00 104.16 90.00
Fractional coordinates of all 6 atoms:
Zr1 0.569 0.250 0.137
Zr2 0.190 0.750 0.381
Zr3 0.431 0.750 0.863
Zr4 0.810 0.250 0.619
C1 0.185 0.250 0.371
C2 0.815 0.750 0.629

Calculated values
Symmetry: Cmcm (63)

***

No. 8
The following is a GGA-PBEsol calculation of a geometry-optimized Zr4C3 structure, from Alexandria.

abc: 3.247 3.247 9.639
angles: 99.70 99.70 90.00
Fractional coordinates of all 7 atoms:
C1 0.686 0.686 0.372
C2 0.314 0.314 0.628
C3 0.000 0.000 0.000
Zr1 0.808 0.808 0.616
Zr2 0.432 0.432 0.864
Zr3 0.568 0.568 0.136
Zr4 0.192 0.192 0.384

Calculated values
Symmetry: I4/mmm (139)

***

No. 9
The following is a GGA-PBEsol calculation of a geometry-optimized Zr5C structure, from Alexandria.

abc: 5.585 5.585 5.585
angles: 60.00 60.00 60.00
Fractional coordinates of all 6 atoms:
Zr1 0.623 0.131 0.623
Zr2 0.250 0.250 0.250
Zr3 0.131 0.623 0.623
Zr4 0.623 0.623 0.623
Zr5 0.623 0.623 0.131
C1 0.000 0.000 0.000

Calculated values
Symmetry: F-43m (216)

***

No. 10
The following is a GGA-PBEsol calculation of a geometry-optimized ZrC2 structure, from Alexandria.

abc: 4.016 4.016 4.535
angles: 90.00 90.00 120.00
Fractional coordinates of all 6 atoms:
C1 0.000 0.000 0.500
C2 0.667 0.333 0.750
C3 0.333 0.667 0.250
C4 0.000 0.000 0.000
Zr1 0.333 0.667 0.750
Zr2 0.667 0.333 0.250

Calculated values
Symmetry: P6_3/mmc (194)

***

No. 11
The following is a GGA-PBEsol calculation of a geometry-optimized Ca2Cd structure, from Alexandria.

abc: 5.220 7.143 9.930
angles: 90.00 90.00 90.00
Fractional coordinates of all 12 atoms:
Cd1 0.750 0.779 0.113
Cd2 0.250 0.721 0.613
Cd3 0.750 0.279 0.387
Cd4 0.250 0.221 0.887
Ca1 0.750 0.964 0.803
Ca2 0.750 0.464 0.697
Ca3 0.250 0.036 0.197
Ca4 0.250 0.536 0.303
Ca5 0.750 0.334 0.066
Ca6 0.250 0.166 0.566
Ca7 0.750 0.834 0.434
Ca8 0.250 0.666 0.934

Calculated values
Symmetry: Pnma (62)

***

No. 12
The following is a GGA-PBEsol calculation of a geometry-optimized Ca5Cd24 structure, from Alexandria.

abc: 9.430 9.430 9.430
angles: 109.47 109.47 109.47
Fractional coordinates of all 29 atoms:
Cd1 0.675 0.387 0.000
Cd2 0.371 0.000 0.191
Cd3 0.000 0.675 0.387
Cd4 0.675 0.000 0.387
Cd5 0.712 0.325 0.325
Cd6 0.809 0.180 0.809
Cd7 0.387 0.000 0.675
Cd8 0.191 0.000 0.371
Cd9 0.288 0.613 0.613
Cd10 0.000 0.371 0.191
Cd11 0.613 0.613 0.288
Cd12 0.820 0.629 0.629
Cd13 0.371 0.191 0.000
Cd14 0.191 0.371 0.000
Cd15 0.629 0.629 0.820
Cd16 0.000 0.387 0.675
Cd17 0.613 0.288 0.613
Cd18 0.809 0.809 0.180
Cd19 0.000 0.191 0.371
Cd20 0.325 0.712 0.325
Cd21 0.325 0.325 0.712
Cd22 0.180 0.809 0.809
Cd23 0.387 0.675 0.000
Cd24 0.629 0.820 0.629
Ca1 0.624 0.000 0.000
Ca2 0.000 0.000 0.000
Ca3 0.000 0.624 0.000
Ca4 0.000 0.000 0.624
Ca5 0.376 0.376 0.376

Calculated values
Symmetry: I-43m (217)

***

no.,DOS at the Fermi energy (states/eV/cell),energy relative to the elements (eV per atom)
1,2.60,-0.408
2,1.76,0.155
3,1.51,-0.786
4,2.09,-0.786
5,4.49,-0.624
6,2.63,-0.516
7,3.29,-0.622
8,2.81,-0.427
9,7.12,1.279
10,4.05,1.118
11,13.06,-0.247
12,12.78,-0.214